1.
First-principles (PBE-GGA) data for a relaxed structure of PtBr, as listed in Alexandria via LeMat-Bulk.

Values from the calculation:
- DFT total energy (eV/cell) = -38.30
- formation energy (no corrections) (kJ/mol of atoms) = 64.2

Geometry as POSCAR:
```
PtBr
1.0
7.254 0.000 0.000
0.000 7.254 0.000
0.000 0.000 7.254
Pt Br
6 6
Direct
0.750 0.000 0.500
0.500 0.250 0.000
0.000 0.500 0.750
0.250 0.000 0.500
0.000 0.500 0.250
0.500 0.750 0.000
0.750 0.500 0.000
0.500 0.000 0.250
0.500 0.000 0.750
0.000 0.250 0.500
0.000 0.750 0.500
0.250 0.500 0.000
```


2.
First-principles (PBE-GGA) data for a relaxed structure of PtBr, as listed in Alexandria via LeMat-Bulk.

Values from the calculation:
- DFT total energy (eV/cell) = -57.62
- formation energy (no corrections) (kJ/mol of atoms) = 24.7

Geometry as POSCAR:
```
PtBr
1.0
11.874 0.000 0.000
0.000 11.874 0.000
0.000 0.000 3.160
Br Pt
8 8
Direct
0.728 0.916 0.500
0.272 0.084 0.500
0.916 0.272 0.500
0.584 0.228 0.000
0.772 0.584 0.000
0.228 0.416 0.000
0.084 0.728 0.500
0.416 0.772 0.000
0.574 0.639 0.000
0.926 0.861 0.500
0.139 0.926 0.500
0.639 0.426 0.000
0.426 0.361 0.000
0.861 0.074 0.500
0.074 0.139 0.500
0.361 0.574 0.000
```


3.
First-principles (PBE-GGA) data for a relaxed structure of PtBr, as listed in Alexandria via LeMat-Bulk.

Values from the calculation:
- DFT total energy (eV/cell) = -26.00
- formation energy (no corrections) (kJ/mol of atoms) = 58.5

Geometry as POSCAR:
```
PtBr
1.0
5.728 0.000 0.000
0.000 5.728 0.000
0.000 0.000 5.728
Br Pt
4 4
Direct
0.200 0.700 0.800
0.300 0.300 0.300
0.700 0.800 0.200
0.800 0.200 0.700
0.949 0.551 0.449
0.051 0.051 0.051
0.449 0.949 0.551
0.551 0.449 0.949
```


4.
First-principles (PBE-GGA) data for a relaxed structure of PtBr, as listed in Alexandria via LeMat-Bulk.

Values from the calculation:
- DFT total energy (eV/cell) = -12.95
- formation energy (no corrections) (kJ/mol of atoms) = 59.8

Geometry as POSCAR:
```
PtBr
1.0
-3.164 -1.647 -1.432
3.388 -0.511 -1.741
1.274 -6.179 4.293
Pt Br
2 2
Direct
0.667 0.333 0.200
0.333 0.667 0.700
0.333 0.667 0.382
0.667 0.333 0.882
```


5.
First-principles (PBE-GGA) data for a relaxed structure of PtBr, as listed in Alexandria via LeMat-Bulk.

Values from the calculation:
- DFT total energy (eV/cell) = -54.86
- formation energy (no corrections) (kJ/mol of atoms) = 41.3

Geometry as POSCAR:
```
PtBr
1.0
-0.292 0.748 -9.133
-3.820 -8.315 -0.559
-8.329 3.787 0.577
Pt Br
8 8
Direct
0.402 0.598 0.598
0.402 0.402 0.402
0.902 0.902 0.902
0.598 0.402 0.598
0.902 0.098 0.098
0.098 0.902 0.098
0.098 0.098 0.902
0.598 0.598 0.402
0.245 0.245 0.755
0.245 0.755 0.245
0.255 0.255 0.255
0.745 0.745 0.255
0.755 0.755 0.755
0.745 0.255 0.745
0.255 0.745 0.745
0.755 0.245 0.245
```


6.
First-principles (PBE-GGA) data for a relaxed structure of PtBr4, as listed in Alexandria via LeMat-Bulk.

Values from the calculation:
- DFT total energy (eV/cell) = -11.03
- formation energy (no corrections) (kJ/mol of atoms) = 32.8

Geometry as POSCAR:
```
PtBr4
1.0
-2.594 -3.580 -3.374
0.811 -2.382 4.960
-3.125 4.558 0.621
Br Pt
4 1
Direct
0.000 0.500 0.000
0.500 0.000 0.000
0.000 0.000 0.500
0.500 0.500 0.500
0.000 0.000 0.000
```


7.
First-principles (PBE-GGA) data for a relaxed structure of Pt5Br, as listed in Alexandria via LeMat-Bulk.

Values from the calculation:
- DFT total energy (eV/cell) = -29.84
- formation energy (no corrections) (kJ/mol of atoms) = 32.8

Geometry as POSCAR:
```
Pt5Br
1.0
-5.508 -0.509 2.041
-3.964 -0.267 4.356
-2.684 6.156 1.146
Pt Br
5 1
Direct
0.840 0.840 0.846
0.184 0.184 0.681
0.816 0.816 0.319
0.160 0.160 0.154
0.500 0.500 0.000
0.500 0.500 0.500
```


8.
First-principles (PBE-GGA) data for a relaxed structure of PtBr4, as listed in Alexandria via LeMat-Bulk.

Values from the calculation:
- DFT total energy (eV/cell) = -9.58
- formation energy (no corrections) (kJ/mol of atoms) = 60.8

Geometry as POSCAR:
```
PtBr4
1.0
-1.884 1.884 11.239
1.884 -1.884 11.239
1.884 1.884 -11.239
Br Pt
4 1
Direct
0.430 0.430 0.000
0.250 0.750 0.500
0.570 0.570 0.000
0.750 0.250 0.500
0.000 0.000 0.000
```


9.
First-principles (PBE-GGA) data for a relaxed structure of PtBr5, as listed in Alexandria via LeMat-Bulk.

Values from the calculation:
- DFT total energy (eV/cell) = -7.77
- formation energy (no corrections) (kJ/mol of atoms) = 106.8

Geometry as POSCAR:
```
PtBr5
1.0
-4.612 -0.721 3.876
-4.964 -3.034 -1.722
-1.172 -5.476 2.336
Pt Br
1 5
Direct
0.000 0.000 0.000
0.625 0.124 0.625
0.250 0.250 0.250
0.625 0.625 0.124
0.124 0.625 0.625
0.625 0.625 0.625
```


10.
First-principles (PBE-GGA) data for a relaxed structure of PtBr5, as listed in Alexandria via LeMat-Bulk.

Values from the calculation:
- DFT total energy (eV/cell) = -10.44
- formation energy (no corrections) (kJ/mol of atoms) = 63.7

Geometry as POSCAR:
```
PtBr5
1.0
2.677 -4.636 0.000
2.677 4.636 0.000
0.000 0.000 8.655
Br Pt
5 1
Direct
0.333 0.667 0.000
0.000 0.500 0.500
0.667 0.333 0.000
0.500 0.000 0.500
0.500 0.500 0.500
0.000 0.000 0.000
```


11.
First-principles (PBE-GGA) data for a relaxed structure of PtBr, as listed in Alexandria via LeMat-Bulk.

Values from the calculation:
- DFT total energy (eV/cell) = -13.64
- formation energy (no corrections) (kJ/mol of atoms) = 43.1

Geometry as POSCAR:
```
PtBr
1.0
-2.623 -2.318 0.092
1.067 -1.069 3.468
-2.653 3.320 7.981
Pt Br
2 2
Direct
0.250 0.776 0.651
0.750 0.224 0.349
0.750 0.129 0.750
0.250 0.871 0.250
```


12.
First-principles (PBE-GGA) data for a relaxed structure of Pt4Br, as listed in Alexandria via LeMat-Bulk.

Values from the calculation:
- DFT total energy (eV/cell) = -23.21
- formation energy (no corrections) (kJ/mol of atoms) = 50.6

Geometry as POSCAR:
```
Pt4Br
1.0
-1.896 1.896 6.549
1.896 -1.896 6.549
1.896 1.896 -6.549
Pt Br
4 1
Direct
0.750 0.250 0.500
0.250 0.750 0.500
0.603 0.603 0.000
0.397 0.397 0.000
0.000 0.000 0.000
```